# Sc2MnBiC

A relaxed structure of Sc2MnBiC (GGA-PBE, Alexandria).

abc: 4.422 4.422 5.187
angles: 90.00 90.00 90.00
Sites, in units of the cell vectors:
Sc  0.000  0.500  0.000
Sc  0.500  0.000  0.000
Mn  0.000  0.000  0.500
Bi  0.500  0.500  0.500
C  0.500  0.500  0.000

Summary:
Energy of formation from the pure elements   152 meV per atom
Space group   P4/mmm (123)
Offset from the most stable computed form   0.529 eV/atom